[1]
Rh2C, optimized geometry, DFT PBE-GGA; M_tot = 0.00 Bohr magnetons per cell; energy above the most stable polymorph in this dataset = 107 meV/atom; formation enthalpy at 0 K = 0.2985 eV per atom; SG = Cmc2_1, No. 36
1.0
1.484 -4.386 0.000
1.484 4.386 0.000
0.000 0.000 5.734
Rh C
4 2
Cartesian
1.484 4.346 2.867 Rh
1.484 2.045 4.269 Rh
1.484 -2.045 1.402 Rh
1.484 -4.346 0.000 Rh
1.484 1.310 0.401 C
1.484 -1.310 3.268 C

---

[2]
Pu6Ge2Au, optimized geometry, DFT PBE-GGA; M_tot = 35.08 Bohr magnetons per cell; formation enthalpy at 0 K = -0.0694 eV per atom; SG = P6/mmm, No. 191
1.0
8.718 0.000 0.000
-4.359 7.550 0.000
0.000 0.000 3.131
Pu Ge Au
6 2 1
Cartesian
-1.462 2.532 0.000 Pu
-2.897 5.019 0.000 Pu
2.923 0.000 0.000 Pu
1.462 2.532 0.000 Pu
5.795 0.000 0.000 Pu
2.897 5.019 0.000 Pu
0.000 5.034 1.566 Ge
4.359 2.517 1.566 Ge
0.000 0.000 1.566 Au

---

[3]
LiCaSe2, optimized geometry, DFT PBE-GGA; M_tot = 0.00 Bohr magnetons per cell; SG = P2/m, No. 10; formation energy without anion corrections = -4.97 eV per formula unit
1.0
4.209 0.000 0.000
0.000 3.975 0.000
-0.748 0.000 5.735
Li Ca Se
1 1 2
Cartesian
0.000 0.000 0.000 Li
1.730 1.988 2.867 Ca
-0.374 0.000 2.867 Se
2.105 1.988 0.000 Se

---

[4]
LaPr2Au3, optimized geometry, DFT PBE-GGA; M_tot = 0.00 Bohr magnetons per cell; formation enthalpy at 0 K = -0.7557 eV per atom; SG = P2/m, No. 10
1.0
5.339 0.000 0.000
0.000 7.453 0.000
-2.607 0.000 8.000
La Pr Au
2 4 6
Cartesian
0.020 0.000 2.663 La
2.712 0.000 5.337 La
0.021 3.727 2.673 Pr
2.670 0.000 0.000 Pr
2.670 3.727 0.000 Pr
2.711 3.727 5.326 Pr
0.000 1.877 0.000 Au
0.000 5.576 0.000 Au
0.042 1.886 5.350 Au
0.042 5.567 5.350 Au
2.690 1.886 2.650 Au
2.690 5.567 2.650 Au